Hg6Pb after structural relaxation. Source: Alexandria, functional PBE.

```
Hg6Pb
1.0
6.992 0.000 0.000
-2.331 6.592 0.000
-2.331 -3.296 5.709
Hg Pb
6 1
Direct
0.250 0.500 0.750
0.750 0.500 0.250
0.500 0.250 0.750
0.750 0.250 0.500
0.250 0.750 0.500
0.500 0.750 0.250
0.000 0.000 0.000
```

## Properties
- ΔE_f (eV per atom) = 0.354
- distance to the lowest polymorph of the same formula (eV/f.u.) = 2.20


SrAg3Bi after structural relaxation. Source: Alexandria, functional PBE.

```
SrAg3Bi
1.0
-4.148 -3.648 -0.651
1.712 -1.020 -5.192
3.286 -4.073 1.884
Ag Bi Sr
3 1 1
Direct
0.000 0.000 0.500
0.000 0.500 0.000
0.500 0.000 0.000
0.500 0.500 0.500
0.000 0.000 0.000
```

## Properties
- ΔE_f (eV per atom) = 0.902
- distance to the lowest polymorph of the same formula (eV/f.u.) = 3.61


Na2ReAuC after structural relaxation. Source: Alexandria, functional PBE.

```
Na2ReAuC
1.0
-1.811 -3.443 -3.452
3.170 0.514 -2.175
2.388 -3.837 2.574
Na C Au Re
2 1 1 1
Direct
0.000 0.000 0.500
0.500 0.000 0.000
0.000 0.000 0.000
0.000 0.500 0.000
0.500 0.500 0.500
```

## Properties
- ΔE_f (eV per atom) = 1.524


NaBeCr2Cl after structural relaxation. Source: Alexandria, functional PBE.

```
NaBeCr2Cl
1.0
-0.487 -0.273 4.418
4.168 -3.678 0.233
2.910 3.330 0.527
Na Cl Be Cr
1 1 1 2
Direct
0.000 0.500 0.000
0.500 0.500 0.500
0.000 0.000 0.000
0.500 0.000 0.000
0.000 0.000 0.500
```

## Properties
- formation energy without anion corrections (eV/f.u.) = 3.43


Nb2HgPt9 after structural relaxation. Source: Alexandria, functional PBE.

```
Nb2HgPt9
1.0
4.031 0.000 0.000
0.000 4.031 0.000
0.000 0.000 12.045
Pt Nb Hg
9 2 1
Direct
0.500 0.500 0.000
0.500 0.000 0.822
0.500 0.500 0.662
0.000 0.500 0.178
0.500 0.000 0.178
0.000 0.500 0.822
0.000 0.500 0.500
0.500 0.000 0.500
0.500 0.500 0.338
0.000 0.000 0.671
0.000 0.000 0.329
0.000 0.000 0.000
```

## Properties
- ΔE_f (eV per atom) = -0.477


Mg2CuW after structural relaxation. Source: Alexandria, functional PBE.

```
Mg2CuW
1.0
-3.309 -1.576 1.686
1.881 -3.509 0.411
1.306 1.123 3.613
Cu Mg W
1 2 1
Direct
0.500 0.000 0.500
0.000 0.500 0.500
0.000 0.000 0.000
0.500 0.500 0.000
```

## Properties
- ΔE_f (eV per atom) = 0.481
- distance to the lowest polymorph of the same formula (eV/f.u.) = 1.03


Tb3Pr5Sm3 after structural relaxation. Source: Alexandria, functional PBE.

```
Tb3Pr5Sm3
1.0
-1.352 -3.118 0.731
-2.169 -1.661 -11.102
10.011 -3.304 4.425
Pr Tb Sm
5 3 3
Direct
0.500 0.667 0.333
0.500 0.000 0.338
0.500 0.338 0.000
0.500 0.333 0.667
0.500 0.662 0.662
0.500 0.000 0.841
0.500 0.159 0.159
0.500 0.841 0.000
0.000 0.402 0.402
0.000 0.598 0.000
0.000 0.000 0.598
```

## Properties
- ΔE_f (eV per atom) = 0.302


SrCaMo after structural relaxation. Source: Alexandria, functional PBE.

```
SrCaMo
1.0
-1.556 2.876 4.348
-3.695 -1.643 -3.639
-0.465 -3.042 1.846
Mo Sr Ca
1 1 1
Direct
0.333 0.667 0.320
0.667 0.333 0.641
0.000 0.000 0.038
```

## Properties
- ΔE_f (eV per atom) = 1.017
- distance to the lowest polymorph of the same formula (eV/f.u.) = 0.35


KTaBr2 after structural relaxation. Source: Alexandria, functional PBE.

```
KTaBr2
1.0
10.918 0.023 0.014
10.389 3.358 0.014
10.389 1.649 2.925
Br K Ta
2 1 1
Direct
0.245 0.245 0.245
0.013 0.013 0.013
0.506 0.506 0.506
0.735 0.735 0.735
```

## Properties
- formation energy without anion corrections (eV/f.u.) = -0.12
- distance to the lowest polymorph of the same formula (eV/f.u.) = 0.41


Pr3NdY6Sc2 after structural relaxation. Source: Alexandria, functional PBE.

```
Pr3NdY6Sc2
1.0
6.183 -0.001 0.006
-3.091 5.355 0.006
-1.041 -1.802 11.610
Pr Nd Y Sc
3 1 6 2
Direct
0.833 0.167 0.500
0.167 0.833 0.500
0.500 0.500 0.500
0.000 0.000 0.000
0.255 0.255 0.758
0.582 0.919 0.758
0.745 0.745 0.242
0.081 0.418 0.242
0.418 0.081 0.242
0.919 0.582 0.758
0.333 0.667 0.000
0.667 0.333 0.000
```

## Properties
- ΔE_f (eV per atom) = 0.043


LaPrNi2H8 after structural relaxation. Source: Alexandria, functional PBE.

```
LaPrNi2H8
1.0
-3.334 3.128 0.435
-4.377 -1.196 -0.709
-3.181 -0.890 6.263
H Ni Pr La
8 2 1 1
Direct
0.839 0.839 0.484
0.457 0.456 0.175
0.456 0.912 0.175
0.543 0.544 0.825
0.161 0.161 0.516
0.088 0.543 0.825
0.544 0.088 0.825
0.912 0.457 0.175
0.757 0.757 0.730
0.243 0.243 0.270
0.000 0.000 0.000
0.500 0.500 0.500
```

## Properties
- VASP energy (eV per atom) = -4.340


AcMg3Tl3 after structural relaxation. Source: Alexandria, functional PBE.

```
AcMg3Tl3
1.0
-0.014 9.052 3.540
4.173 1.870 8.577
8.275 5.085 0.373
Ac Mg Tl
2 6 6
Direct
0.250 0.250 0.250
0.750 0.750 0.750
0.150 0.850 0.850
0.150 0.850 0.150
0.850 0.150 0.150
0.850 0.150 0.850
0.150 0.150 0.850
0.850 0.850 0.150
0.341 0.659 0.341
0.341 0.659 0.659
0.659 0.341 0.341
0.659 0.659 0.341
0.341 0.341 0.659
0.659 0.341 0.659
```

## Properties
- ΔE_f (eV per atom) = 0.678


CaZn after structural relaxation. Source: Alexandria, functional PBE.

```
CaZn
1.0
6.004 0.095 -0.011
4.627 3.828 -0.011
4.316 1.593 7.014
Ca Zn
3 3
Direct
0.425 0.425 0.709
0.269 0.269 0.359
0.047 0.047 0.966
0.736 0.736 0.660
0.997 0.997 0.358
0.693 0.693 0.115
```

## Properties
- ΔE_f (eV per atom) = -0.170


NbCoI2 after structural relaxation. Source: Alexandria, functional PBE.

```
NbCoI2
1.0
3.849 -2.946 0.348
-0.585 -4.601 1.451
0.570 -3.639 -3.171
I Co Nb
2 1 1
Direct
0.750 0.750 0.750
0.250 0.250 0.250
0.000 0.000 0.000
0.500 0.500 0.500
```

## Properties
- formation energy without anion corrections (eV/f.u.) = 3.09
- distance to the lowest polymorph of the same formula (eV/f.u.) = 0.19


VCd3Ni after structural relaxation. Source: Alexandria, functional PBE.

```
VCd3Ni
1.0
-0.871 -5.071 0.846
5.141 -0.865 0.105
0.038 0.851 5.145
Cd V Ni
3 1 1
Direct
0.000 0.000 0.500
0.000 0.500 0.000
0.500 0.000 0.000
0.000 0.000 0.000
0.500 0.500 0.500
```

## Properties
- ΔE_f (eV per atom) = 1.291
- distance to the lowest polymorph of the same formula (eV/f.u.) = 3.23


FeP2Pb after structural relaxation. Source: Alexandria, functional PBE.

```
FeP2Pb
1.0
-1.181 -0.887 -4.440
-2.081 -4.043 -1.105
-4.506 -0.044 -1.258
Pb P Fe
1 2 1
Direct
0.250 0.250 0.250
0.750 0.750 0.750
0.000 0.000 0.000
0.500 0.500 0.500
```

## Properties
- ΔE_f (eV per atom) = 0.820


Hg2C after structural relaxation. Source: Alexandria, functional PBE.

```
Hg2C
1.0
2.087 -7.920 0.000
2.087 7.920 0.000
0.000 0.000 4.187
Hg C
4 2
Direct
0.168 0.832 0.750
0.832 0.168 0.250
0.589 0.411 0.250
0.411 0.589 0.750
0.128 0.872 0.250
0.872 0.128 0.750
```

## Properties
- ΔE_f (eV per atom) = 1.264
- distance to the lowest polymorph of the same formula (eV/f.u.) = 2.38


TmAlCo after structural relaxation. Source: Alexandria, functional PBE.

```
TmAlCo
1.0
-2.366 4.716 0.279
-1.396 -3.372 -3.821
-5.873 -3.243 5.007
Co Al Tm
4 4 4
Direct
0.175 0.825 0.500
0.834 0.166 0.000
0.175 0.361 0.500
0.639 0.825 0.500
0.997 0.003 0.727
0.339 0.165 0.000
0.835 0.661 0.000
0.997 0.003 0.273
0.334 0.666 0.201
0.334 0.666 0.799
0.671 0.329 0.675
0.671 0.329 0.325
```

## Properties
- ΔE_f (eV per atom) = -0.415


Ag2BSe2 after structural relaxation. Source: Alexandria, functional PBE.

```
Ag2BSe2
1.0
6.000 0.000 0.000
0.000 6.000 0.000
0.000 0.000 5.480
B Ag Se
2 4 4
Direct
0.000 0.000 0.000
0.500 0.500 0.000
0.682 0.818 0.000
0.318 0.182 0.000
0.818 0.318 0.000
0.182 0.682 0.000
0.358 0.142 0.500
0.642 0.858 0.500
0.858 0.358 0.500
0.142 0.642 0.500
```

## Properties
- formation energy without anion corrections (eV/f.u.) = 2.96
- distance to the lowest polymorph of the same formula (eV/f.u.) = 0.00


Y3Ga2Pd6 after structural relaxation. Source: Alexandria, functional PBE.

```
Y3Ga2Pd6
1.0
-6.228 -2.963 -4.458
5.786 -5.774 0.797
-2.742 2.172 7.430
Pd Y Ga
12 6 4
Direct
0.339 0.669 0.669
0.669 0.000 0.331
0.669 0.331 0.000
0.000 0.669 0.331
0.669 0.339 0.669
0.331 0.331 0.661
0.331 0.669 0.000
0.331 0.661 0.331
0.661 0.331 0.331
0.000 0.331 0.669
0.669 0.669 0.339
0.331 0.000 0.669
0.293 0.293 0.000
0.707 0.707 0.000
0.000 0.707 0.707
0.707 0.000 0.707
0.293 0.000 0.293
0.000 0.293 0.293
0.500 0.000 0.000
0.500 0.500 0.500
0.000 0.500 0.000
0.000 0.000 0.500
```

## Properties
- ΔE_f (eV per atom) = -0.843


Number 1: total magnetic moment 0.0 μB per cell, N(E_F) 0.5101 states/eV/atom. Number 2: total magnetic moment 0.0 μB per cell, N(E_F) 0.6702 states/eV/atom. Number 3: total magnetic moment 4.3 μB per cell, N(E_F) 0.5449 states/eV/atom. Number 4: total magnetic moment 8.4 μB per cell, N(E_F) 0.7870 states/eV/atom. Number 5: total magnetic moment 0.0 μB per cell, N(E_F) 0.2176 states/eV/atom. Number 6: total magnetic moment 0.0 μB per cell, N(E_F) 0.9675 states/eV/atom. Number 7: total magnetic moment 0.0 μB per cell, N(E_F) 1.5395 states/eV/atom. Number 8: total magnetic moment 3.0 μB per cell, N(E_F) 0.7444 states/eV/atom. Number 9: total magnetic moment 0.0 μB per cell, N(E_F) 0.7243 states/eV/atom. Number 10: total magnetic moment 0.0 μB per cell, N(E_F) 1.4956 states/eV/atom. Number 11: total magnetic moment 0.0 μB per cell, N(E_F) 0.4450 states/eV/atom. Number 12: total magnetic moment 0.0 μB per cell, N(E_F) 1.2686 states/eV/atom. Number 13: total magnetic moment 0.0 μB per cell, N(E_F) 0.6771 states/eV/atom. Number 14: total magnetic moment 1.8 μB per cell, N(E_F) 0.8865 states/eV/atom. Number 15: total magnetic moment 4.3 μB per cell, N(E_F) 2.2560 states/eV/atom. Number 16: total magnetic moment 3.0 μB per cell, N(E_F) 1.1833 states/eV/atom. Number 17: total magnetic moment 0.0 μB per cell, N(E_F) 0.0423 states/eV/atom. Number 18: total magnetic moment 1.1 μB per cell, N(E_F) 1.0106 states/eV/atom. Number 19: total magnetic moment 0.0 μB per cell, N(E_F) 0.4045 states/eV/atom. Number 20: total magnetic moment 0.0 μB per cell, N(E_F) 0.5491 states/eV/atom.